! Zn2CuAs (SCAN, PBEsol geometry); values from VASP
! raw total energy	-61.94	eV/f.u.
! space-group type	C2/m
! energy relative to the elements	120	meV/atom
! N(E_F)	1.2	states/eV/f.u.
&SYSTEM
  ibrav = 0, nat = 4, ntyp = 3
/
ATOMIC_SPECIES
Cu 63.55 Cu.upf
As 74.92 As.upf
Zn 65.41 Zn.upf
CELL_PARAMETERS angstrom
-2.024 -0.188 1.895
2.946 -1.363 3.012
1.580 4.707 0.116
ATOMIC_POSITIONS crystal
Cu 0.500 0.000 0.000
As 0.000 0.500 0.000
Zn 0.759 0.762 0.517
Zn 0.241 0.238 0.483



! CoRu2Pt (SCAN, PBEsol geometry); values from VASP
! raw total energy	-155.96	eV/f.u.
! space-group type	Fm-3m
! energy relative to the elements	297	meV/atom
! N(E_F)	3.5	states/eV/f.u.
&SYSTEM
  ibrav = 0, nat = 4, ntyp = 3
/
ATOMIC_SPECIES
Co 58.93 Co.upf
Ru 101.07 Ru.upf
Pt 195.08 Pt.upf
CELL_PARAMETERS angstrom
4.235 0.000 0.000
2.117 3.667 0.000
2.117 1.222 3.458
ATOMIC_POSITIONS crystal
Co 0.000 0.000 0.000
Ru 0.750 0.750 0.750
Ru 0.250 0.250 0.250
Pt 0.500 0.500 0.500



! Cd2NiBr (SCAN, PBEsol geometry); values from VASP
! formation energy without anion corrections	0.367	eV per atom
! excess energy over the best structure of this formula in the dataset	297	meV/atom
! raw total energy	-94.99	eV/f.u.
! space-group type	Pmmm
! N(E_F)	2.5	states/eV/f.u.
&SYSTEM
  ibrav = 0, nat = 4, ntyp = 3
/
ATOMIC_SPECIES
Cd 112.41 Cd.upf
Br 79.90 Br.upf
Ni 58.69 Ni.upf
CELL_PARAMETERS angstrom
3.161 0.000 0.000
0.000 4.471 0.000
0.000 0.000 5.515
ATOMIC_POSITIONS crystal
Cd 0.500 0.500 0.000
Br 0.000 0.500 0.500
Cd 0.000 0.000 0.000
Ni 0.500 0.000 0.500



! FeCo2Se4 (SCAN, PBEsol geometry); values from VASP
! formation energy without anion corrections	-0.259	eV per atom
! excess energy over the best structure of this formula in the dataset	22	meV/atom
! raw total energy	-134.86	eV/f.u.
! space-group type	Cm
! N(E_F)	3.6	states/eV/f.u.
&SYSTEM
  ibrav = 0, nat = 7, ntyp = 3
/
ATOMIC_SPECIES
Se 78.96 Se.upf
Fe 55.84 Fe.upf
Co 58.93 Co.upf
CELL_PARAMETERS angstrom
-0.330 2.124 -2.768
-5.588 1.346 1.700
4.529 2.193 3.361
ATOMIC_POSITIONS crystal
Se 0.635 0.979 0.270
Se 0.886 0.547 0.771
Fe 0.739 0.711 0.478
Se 0.363 0.021 0.726
Co 0.998 0.998 0.996
Co 0.264 0.291 0.527
Se 0.115 0.452 0.231



! Mg3CoCl (SCAN, PBEsol geometry); values from VASP
! formation energy without anion corrections	0.192	eV per atom
! excess energy over the best structure of this formula in the dataset	0	meV/atom
! raw total energy	-39.24	eV/f.u.
! space-group type	Pm-3m
! N(E_F)	2.0	states/eV/f.u.
&SYSTEM
  ibrav = 0, nat = 5, ntyp = 3
/
ATOMIC_SPECIES
Mg 24.30 Mg.upf
Co 58.93 Co.upf
Cl 35.45 Cl.upf
CELL_PARAMETERS angstrom
4.838 0.000 0.000
0.000 4.838 0.000
0.000 0.000 4.838
ATOMIC_POSITIONS crystal
Mg 0.000 0.000 0.500
Co 0.000 0.000 0.000
Mg 0.500 0.000 0.000
Cl 0.500 0.500 0.500
Mg 0.000 0.500 0.000



! Cr2CoRe (SCAN, PBEsol geometry); values from VASP
! raw total energy	-124.50	eV/f.u.
! space-group type	P4/mmm
! energy relative to the elements	168	meV/atom
! N(E_F)	4.2	states/eV/f.u.
&SYSTEM
  ibrav = 0, nat = 4, ntyp = 3
/
ATOMIC_SPECIES
Cr 52.00 Cr.upf
Re 186.21 Re.upf
Co 58.93 Co.upf
CELL_PARAMETERS angstrom
3.608 0.000 0.000
0.000 3.610 0.000
0.000 0.000 3.610
ATOMIC_POSITIONS crystal
Cr 0.000 0.000 0.500
Cr 0.000 0.500 0.000
Re 0.500 0.500 0.500
Co 0.500 0.000 0.000